# AlZn2Pb

AlZn2Pb after structural relaxation (GGA-PBEsol, the Alexandria database).

Summary:
Its crystal system is trigonal. For the raw total energy, the calculation gives -2.614 eV per atom. As for the formation energy: 0.199 eV/atom. Its spin magnetization is 0.000 μB per formula unit. Its energy relative to the lowest polymorph listed for this composition is 0.037 eV per atom.

Cell lengths 3.3079, 3.3079, 24.9843 Å; angles 90.00, 90.00, 120.00 degrees
Space group R-3m (No. 166, hexagonal axes)
Symmetry-distinct sites (fractional):
Al (0.0000, 0.0000, 0.0000) x3
Zn (0.0000, 0.0000, 0.2594) x6
Pb (0.0000, 0.0000, 0.5000) x3

# Mg2RhBr

Mg2RhBr after structural relaxation (GGA-PBEsol, the Alexandria database).

Summary:
Its crystal system is orthorhombic. For the raw total energy, the calculation gives -3.702 eV per atom. Its spin magnetization is 0.000 μB per formula unit. Its energy relative to the lowest polymorph listed for this composition is 0.071 eV per atom. The calculation puts the formation energy from raw total energies at -341.1 meV per atom.

Cell lengths 3.222, 4.583, 4.778 Å; angles 90.00, 90.00, 90.00 degrees
Space group Pmm2 (No. 25)
Symmetry-distinct sites (fractional):
Mg (0.000, 0.000, 0.000) x1
Mg (0.000, 0.500, 0.404) x1
Rh (0.500, 0.000, 0.484) x1
Br (0.500, 0.500, 0.861) x1

# K2LiBiBr6

K2LiBiBr6 after structural relaxation (GGA-PBEsol, the Alexandria database).

Summary:
Its crystal system is cubic. For the raw total energy, the calculation gives -3.233 eV per atom. Its spin magnetization is 0.000 μB per formula unit. The calculation puts the formation energy from raw total energies at -1259.4 meV per atom.

Cell lengths 10.935, 10.935, 10.935 Å; angles 90.00, 90.00, 90.00 degrees
Space group Fm-3m (No. 225)
Symmetry-distinct sites (fractional):
K (0.250, 0.250, 0.250) x8
Li (0.000, 0.000, 0.000) x4
Bi (0.000, 0.000, 0.500) x4
Br (0.000, 0.000, 0.243) x24

# BaTlTc3

BaTlTc3 after structural relaxation (GGA-PBEsol, the Alexandria database).

Summary:
Its crystal system is cubic. For the raw total energy, the calculation gives -4.803 eV per atom. As for the formation energy: 2.912 eV/atom. Its spin magnetization is 6.961 μB per formula unit.

Cell lengths 5.027, 5.027, 5.027 Å; angles 90.00, 90.00, 90.00 degrees
Space group Pm-3m (No. 221)
Symmetry-distinct sites (fractional):
Ba (0.000, 0.000, 0.000) x1
Tl (0.500, 0.500, 0.500) x1
Tc (0.000, 0.000, 0.500) x3

# DyMg2

DyMg2 after structural relaxation (GGA-PBEsol, the Alexandria database).

Summary:
Its crystal system is cubic. For the raw total energy, the calculation gives -2.859 eV per atom. As for the formation energy: -0.055 eV/atom. Its spin magnetization is 0.000 μB per formula unit.

Cell lengths 8.440, 8.440, 8.440 Å; angles 90.00, 90.00, 90.00 degrees
Space group Fd-3m (No. 227, origin choice 2)
Symmetry-distinct sites (fractional):
Dy (0.125, 0.125, 0.125) x8
Mg (0.000, 0.000, 0.500) x16

# BeSb2MoRu

BeSb2MoRu after structural relaxation (GGA-PBEsol, the Alexandria database).

Summary:
Its crystal system is tetragonal. For the raw total energy, the calculation gives -6.015 eV per atom. Its spin magnetization is 3.046 μB per formula unit. The calculation puts the formation energy from raw total energies at 996.2 meV per atom.

Cell lengths 5.013, 5.013, 4.049 Å; angles 90.00, 90.00, 90.00 degrees
Space group P4/mmm (No. 123)
Symmetry-distinct sites (fractional):
Be (0.000, 0.000, 0.000) x1
Sb (0.000, 0.500, 0.500) x2
Mo (0.500, 0.500, 0.000) x1
Ru (0.000, 0.000, 0.500) x1

# FeBr2O

FeBr2O after structural relaxation (GGA-PBEsol, the Alexandria database).

Summary:
Its crystal system is trigonal. For the raw total energy, the calculation gives -4.181 eV per atom. Its spin magnetization is 3.520 μB per formula unit. The calculation puts the formation energy from raw total energies at 307.6 meV per atom.

Cell lengths 3.5944, 3.5944, 20.9053 Å; angles 90.00, 90.00, 120.00 degrees
Space group R-3m (No. 166, hexagonal axes)
Symmetry-distinct sites (fractional):
Fe (0.0000, 0.0000, 0.0000) x3
Br (0.0000, 0.0000, 0.4036) x6
O (0.0000, 0.0000, 0.5000) x3

# Li7Ru

Li7Ru after structural relaxation (GGA-PBEsol, the Alexandria database).

Summary:
Its crystal system is cubic. For the raw total energy, the calculation gives -2.784 eV per atom. As for the formation energy: 0.209 eV/atom. Its spin magnetization is 0.000 μB per formula unit.

Cell lengths 7.809, 7.809, 7.809 Å; angles 90.00, 90.00, 90.00 degrees
Space group Fm-3m (No. 225)
Symmetry-distinct sites (fractional):
Li (0.000, 0.000, 0.000) x4
Li (0.000, 0.250, 0.250) x24
Ru (0.000, 0.000, 0.500) x4